1.
Entry from the Alexandria database: a relaxed BaCdTc2O8 crystal (PBE-GGA).

The value obtained for the size of the total moment is 4.07 μB/cell. The formation energy from raw total energies is -1608 meV/atom.

The structure belongs to space group C2/m (No. 12); the cell edges are 8.931, 6.117 and 8.124 Å and the angles 90.00°, 93.41° and 90.00°. The inequivalent atoms are Ba at (0.000, 0.000, 0.000), Cd at (0.000, 0.000, 0.500), Tc at (0.122, 0.500, 0.275), O at (0.014, 0.251, 0.281), O at (0.204, 0.500, 0.080) and O at (0.248, 0.500, 0.451).

***

2.
Entry from the Alexandria database: a relaxed PrIn2Bi crystal (PBE-GGA).

The value obtained for the size of the total moment is 0.00 μB/cell. The formation energy comes out at 0.1106 eV per atom.

The structure belongs to space group R-3m (No. 166, hexagonal axes); the cell edges are 3.5175, 3.5175 and 36.2097 Å and the angles 90.00°, 90.00° and 120.00°. The inequivalent atoms are Pr at (0.0000, 0.0000, 0.0000), In at (0.0000, 0.0000, 0.0901) and Bi at (0.0000, 0.0000, 0.5000).

***

Question: What is the formula in the first record?
Answer: BaCdTc2O8

***

Question: Which formula does entry 2 have?
Answer: PrIn2Bi